# 1
{"formula": "Er2TmAl3Cu2Pd", "functional": "PBE", "state": "optimized geometry", "cell": [[-1.472, -3.205, -1.995], [5.452, -3.810, 2.099], [-5.789, 0.242, 3.882]], "species": ["Al", "Al", "Al", "Cu", "Cu", "Er", "Er", "Pd", "Tm"], "frac_coords": [[0.500, 0.240, 0.000], [0.500, 0.000, 0.240], [0.500, 0.760, 0.760], [0.500, 0.666, 0.334], [0.500, 0.334, 0.666], [0.000, 0.000, 0.582], [0.000, 0.582, 0.000], [0.000, 0.001, 0.001], [0.000, 0.418, 0.418]], "e_tot_ev_per_cell": -42.78, "m_tot_mub_per_cell": 0.01, "space_group": "Amm2, No. 38"}

---

# 2
{"formula": "PrSiOs", "functional": "PBE", "state": "optimized geometry", "cell": [[4.415, -0.854, 0.724], [1.244, -3.041, 3.155], [1.784, -3.995, -1.266]], "species": ["Os", "Pr", "Si"], "frac_coords": [[0.000, 0.000, 0.000], [0.250, 0.250, 0.250], [0.750, 0.750, 0.750]], "e_tot_ev_per_cell": -20.93, "m_tot_mub_per_cell": 0.01, "space_group": "F-43m, No. 216"}

---

# 3
{"formula": "ErMgNb", "functional": "PBE", "state": "optimized geometry", "cell": [[0.000, 3.382, 3.382], [3.382, 0.000, 3.382], [3.382, 3.382, 0.000]], "species": ["Er", "Mg", "Nb"], "frac_coords": [[0.250, 0.250, 0.250], [0.000, 0.000, 0.000], [0.750, 0.750, 0.750]], "m_tot_mub_per_cell": 0.66, "relative_energy_mev_per_atom": 0.0, "space_group": "F-43m, No. 216"}